This record from OQMD describes RbOsPb after structural relaxation. The functional is PBE.

Cell lengths 7.3808, 7.3808, 7.3808 Å; angles 90.00, 90.00, 90.00 degrees
Space group F-43m (No. 216)
Asymmetric unit:
1 Rb 0.0000 0.0000 0.0000 (multiplicity 4)
2 Os 0.2500 0.2500 0.7500 (multiplicity 4)
3 Pb 0.2500 0.2500 0.2500 (multiplicity 4)

- electronic total energy (eV per cell) = -36.1